No. 1
The following is a PBE-GGA calculation of a geometry-optimized GaGe2Br2 structure, from the Alexandria database.

Geometry as extended XYZ:
```
10
Lattice="3.845 0.000 0.000 0.000 3.845 0.000 0.000 0.000 17.664" Properties=species:S:1:pos:R:3 pbc="T T T"
Ga 0.000 0.000 0.000
Ga 1.923 1.923 8.832
Ge 0.000 1.923 4.416
Ge 0.000 1.923 13.248
Ge 1.923 0.000 4.416
Ge 1.923 0.000 13.248
Br 0.000 0.000 6.996
Br 0.000 0.000 10.668
Br 1.923 1.923 1.836
Br 1.923 1.923 15.828
```

Output
SG	I4/mmm (139)
formation energy without anion corrections	-42	kJ/mol of formula units

=====

No. 2
The following is a PBE-GGA calculation of a geometry-optimized GaGeBr2 structure, from the Alexandria database.

Geometry as extended XYZ:
```
16
Lattice="7.341 0.000 0.000 0.000 7.341 0.000 0.000 0.000 7.341" Properties=species:S:1:pos:R:3 pbc="T T T"
Ga 0.000 0.000 0.000
Ga 0.000 3.670 3.670
Ga 3.670 0.000 3.670
Ga 3.670 3.670 0.000
Ge 0.000 0.000 3.670
Ge 0.000 3.670 0.000
Ge 3.670 0.000 0.000
Ge 3.670 3.670 3.670
Br 1.835 1.835 1.835
Br 1.835 1.835 5.506
Br 1.835 5.506 1.835
Br 1.835 5.506 5.506
Br 5.506 1.835 1.835
Br 5.506 1.835 5.506
Br 5.506 5.506 1.835
Br 5.506 5.506 5.506
```

Output
SG	Fm-3m (225)
formation energy without anion corrections	-18	kJ/mol of formula units

=====

No. 3
The following is a PBE-GGA calculation of a geometry-optimized GaGe2Br2 structure, from the Alexandria database.

Geometry as extended XYZ:
```
10
Lattice="8.915 0.000 0.000 0.000 8.915 0.000 0.000 0.000 3.366" Properties=species:S:1:pos:R:3 pbc="T T T"
Ga 0.000 0.000 0.000
Ga 4.457 4.457 0.000
Ge 1.863 2.595 1.683
Ge 2.595 7.052 1.683
Ge 6.320 1.863 1.683
Ge 7.052 6.320 1.683
Br 1.142 5.599 0.000
Br 3.316 1.142 0.000
Br 5.599 7.773 0.000
Br 7.773 3.316 0.000
```

Output
SG	P4/mbm (127)
formation energy without anion corrections	123	kJ/mol of formula units

=====

No. 4
The following is a PBE-GGA calculation of a geometry-optimized Ga2Ge2Br structure, from the Alexandria database.

Geometry as extended XYZ:
```
10
Lattice="4.644 0.000 0.000 0.000 4.644 0.000 0.000 0.000 10.208" Properties=species:S:1:pos:R:3 pbc="T T T"
Ga 0.000 2.322 2.552
Ga 0.000 2.322 7.656
Ga 2.322 0.000 2.552
Ga 2.322 0.000 7.656
Ge 0.000 0.000 1.257
Ge 0.000 0.000 8.952
Ge 2.322 2.322 3.848
Ge 2.322 2.322 6.361
Br 0.000 0.000 5.104
Br 2.322 2.322 0.000
```

Output
SG	I4/mmm (139)
formation energy without anion corrections	14	kJ/mol of formula units

=====

No. 5
The following is a PBE-GGA calculation of a geometry-optimized GaGeBr3 structure, from the Alexandria database.

Geometry as extended XYZ:
```
10
Lattice="7.706 0.000 0.000 0.000 5.631 0.000 -2.521 0.000 8.969" Properties=species:S:1:pos:R:3 pbc="T T T"
Ga 0.348 1.408 3.615
Ga 4.837 4.223 5.354
Ge 0.470 1.408 7.723
Ge 4.715 4.223 1.246
Br -1.553 1.408 5.812
Br 0.240 4.223 8.061
Br 2.926 4.223 2.979
Br 2.258 1.408 5.990
Br 4.945 1.408 0.908
Br 6.738 4.223 3.158
```

Output
SG	P2_1/m (11)
formation energy without anion corrections	-252	kJ/mol of formula units

=====

No. 6
The following is a PBE-GGA calculation of a geometry-optimized Ga2GeBr structure, from the Alexandria database.

Geometry as extended XYZ:
```
16
Lattice="6.175 0.000 0.000 0.000 6.175 0.000 0.000 0.000 12.708" Properties=species:S:1:pos:R:3 pbc="T T T"
Ga 1.234 1.544 1.589
Ga 1.544 4.321 4.766
Ga 1.544 4.941 11.120
Ga 1.853 1.544 7.943
Ga 4.321 4.631 7.943
Ga 4.631 1.234 11.120
Ga 4.631 1.853 4.766
Ga 4.941 4.631 1.589
Ge 0.000 0.000 0.000
Ge 0.000 3.087 3.177
Ge 3.087 0.000 9.531
Ge 3.087 3.087 6.354
Br 0.000 0.000 6.354
Br 0.000 3.087 9.531
Br 3.087 0.000 3.177
Br 3.087 3.087 0.000
```

Output
SG	I-42d (122)
formation energy without anion corrections	-4	kJ/mol of formula units

=====

No. 7
The following is a PBE-GGA calculation of a geometry-optimized Ga2GeBr8 structure, from the Alexandria database.

Geometry as extended XYZ:
```
22
Lattice="9.690 -4.652 0.000 9.690 4.652 0.000 -8.065 0.000 9.730" Properties=species:S:1:pos:R:3 pbc="T T T"
Ga 0.189 2.337 9.337
Ga 7.093 2.337 5.257
Ga 4.222 -2.337 4.472
Ga 11.126 -2.337 0.393
Ge 7.674 0.154 2.432
Ge 3.641 -0.154 7.297
Br 2.551 0.301 0.415
Br 1.643 2.127 7.485
Br -1.482 -0.301 5.279
Br 5.839 2.030 3.198
Br -1.295 0.452 9.485
Br 9.508 2.030 1.667
Br 5.640 2.127 7.110
Br 2.737 -0.452 4.621
Br 8.578 0.452 5.109
Br 5.675 -2.127 2.620
Br 1.807 -2.030 8.063
Br 12.611 -0.452 0.244
Br 5.476 -2.030 6.531
Br 12.797 0.301 4.450
Br 9.672 -2.127 2.245
Br 8.764 -0.301 9.315
```

Output
SG	C2/c (15)
formation energy without anion corrections	-805	kJ/mol of formula units

=====

No. 8
The following is a PBE-GGA calculation of a geometry-optimized GaGeBr5 structure, from the Alexandria database.

Geometry as extended XYZ:
```
14
Lattice="7.482 0.000 0.000 -0.532 7.465 0.000 -3.255 -3.937 9.601" Properties=species:S:1:pos:R:3 pbc="T T T"
Ga 0.000 0.000 0.000
Ga 0.150 3.965 4.797
Ge -1.586 0.058 6.956
Ge 3.777 2.016 2.156
Br -1.320 3.758 2.978
Br 1.427 0.437 1.876
Br -0.179 2.507 6.673
Br 0.624 -1.271 5.682
Br 3.582 3.455 0.268
Br 2.417 3.784 4.123
Br 5.251 -0.099 0.881
Br 4.445 0.145 5.068
Br 4.330 -2.457 7.782
Br 4.037 1.280 8.928
```

Output
SG	P1 (1)
formation energy without anion corrections	-456	kJ/mol of formula units